# 1
Density functional theory data (PBE) for a relaxed Tb5Pm3As8 crystal.

Cell and atoms, written as CIF:
```
data_Tb5Pm3As8
_chemical_formula_sum 'Tb15 Pm9 As24'
_cell_length_a 8.3534
_cell_length_b 8.3534
_cell_length_c 20.4566
_cell_angle_alpha 90.00
_cell_angle_beta 90.00
_cell_angle_gamma 120.00
_symmetry_space_group_name_H-M 'R -3 m'
_symmetry_Int_Tables_number 166
_symmetry_space_group_name_Hall '-R 3 2"'
loop_
_atom_site_label
_atom_site_type_symbol
_atom_site_fract_x
_atom_site_fract_y
_atom_site_fract_z
Tb1 Tb 0.0000 0.0000 0.0000
Tb2 Tb 0.0000 0.0000 0.5000
Tb3 Tb 0.0000 0.5000 0.0000
Pm1 Pm 0.0000 0.5000 0.5000
As1 As 0.0000 0.0000 0.2521
As2 As 0.0027 0.5013 0.2513
```

Results
- Energy: -297.39 eV/cell
- Energy relative to the elements: -1.533 eV per atom

=====

# 2
Density functional theory data (PBE) for a relaxed YZrHg2 crystal.

Cell and atoms, written as CIF:
```
data_YZrHg2
_chemical_formula_sum 'Y1 Zr1 Hg2'
_cell_length_a 3.422
_cell_length_b 4.033
_cell_length_c 6.851
_cell_angle_alpha 90.00
_cell_angle_beta 90.00
_cell_angle_gamma 90.00
_symmetry_space_group_name_H-M 'P m m m'
_symmetry_Int_Tables_number 47
_symmetry_space_group_name_Hall '-P 2 2'
loop_
_atom_site_label
_atom_site_type_symbol
_atom_site_fract_x
_atom_site_fract_y
_atom_site_fract_z
Y1 Y 0.000 0.000 0.000
Zr1 Zr 0.000 0.000 0.500
Hg1 Hg 0.500 0.500 0.266
```

Results
- Energy: -16.74 eV/cell
- Energy above the lowest structure with this stoichiometry: 0.000 eV per atom
- Energy relative to the elements: -0.280 eV per atom

=====

# 3
Density functional theory data (PBE) for a relaxed BeRh4Au crystal.

Cell and atoms, written as CIF:
```
data_BeRh4Au
_chemical_formula_sum 'Be4 Rh16 Au4'
_cell_length_a 7.207
_cell_length_b 7.207
_cell_length_c 7.207
_cell_angle_alpha 90.00
_cell_angle_beta 90.00
_cell_angle_gamma 90.00
_symmetry_space_group_name_H-M 'F -4 3 m'
_symmetry_Int_Tables_number 216
_symmetry_space_group_name_Hall 'F -4 2 3'
loop_
_atom_site_label
_atom_site_type_symbol
_atom_site_fract_x
_atom_site_fract_y
_atom_site_fract_z
Be1 Be 0.000 0.000 0.000
Rh1 Rh 0.125 0.125 0.625
Au1 Au 0.250 0.250 0.250
```

Results
- Energy: -134.60 eV/cell
- Energy relative to the elements: 0.460 eV per atom

=====

# 4
Density functional theory data (PBE) for a relaxed LiB4C2 crystal.

Cell and atoms, written as CIF:
```
data_LiB4C2
_chemical_formula_sum 'Li2 B8 C4'
_cell_length_a 4.529
_cell_length_b 4.529
_cell_length_c 5.172
_cell_angle_alpha 90.00
_cell_angle_beta 90.00
_cell_angle_gamma 90.00
_symmetry_space_group_name_H-M 'I 4/m m m'
_symmetry_Int_Tables_number 139
_symmetry_space_group_name_Hall '-I 4 2'
loop_
_atom_site_label
_atom_site_type_symbol
_atom_site_fract_x
_atom_site_fract_y
_atom_site_fract_z
Li1 Li 0.000 0.000 0.000
B1 B 0.000 0.290 0.500
C1 C 0.000 0.500 0.250
```

Results
- Energy: -91.38 eV/cell
- Energy above the lowest structure with this stoichiometry: 0.000 eV per atom
- Energy relative to the elements: 0.197 eV per atom

=====

# 5
Density functional theory data (PBE) for a relaxed Cr2PbW crystal.

Cell and atoms, written as CIF:
```
data_Cr2PbW
_chemical_formula_sum 'Cr2 Pb1 W1'
_cell_length_a 4.633
_cell_length_b 3.098
_cell_length_c 4.880
_cell_angle_alpha 90.00
_cell_angle_beta 107.41
_cell_angle_gamma 90.00
_symmetry_space_group_name_H-M 'P 1 2/m 1'
_symmetry_Int_Tables_number 10
_symmetry_space_group_name_Hall '-P 2y'
loop_
_atom_site_label
_atom_site_type_symbol
_atom_site_fract_x
_atom_site_fract_y
_atom_site_fract_z
Cr1 Cr 0.000 0.000 0.000
Cr2 Cr 0.000 0.500 0.500
Pb1 Pb 0.500 0.000 0.500
W1 W 0.500 0.500 0.000
```

Results
- Energy: -32.45 eV/cell
- Energy relative to the elements: 0.865 eV per atom

=====

# 6
Density functional theory data (PBE) for a relaxed CaIn5Pb2 crystal.

Cell and atoms, written as CIF:
```
data_CaIn5Pb2
_chemical_formula_sum 'Ca2 In10 Pb4'
_cell_length_a 7.115
_cell_length_b 13.992
_cell_length_c 4.524
_cell_angle_alpha 90.00
_cell_angle_beta 90.00
_cell_angle_gamma 90.00
_symmetry_space_group_name_H-M 'P b a m'
_symmetry_Int_Tables_number 55
_symmetry_space_group_name_Hall '-P 2 2ab'
loop_
_atom_site_label
_atom_site_type_symbol
_atom_site_fract_x
_atom_site_fract_y
_atom_site_fract_z
Ca1 Ca 0.000 0.000 0.000
In1 In 0.000 0.500 0.000
In2 In 0.006 0.249 0.000
In3 In 0.242 0.373 0.500
Pb1 Pb 0.240 0.628 0.500
```

Results
- Energy: -48.33 eV/cell
- Energy relative to the elements: -0.132 eV per atom

=====

# 7
Density functional theory data (PBE) for a relaxed Na2ErInCl6 crystal.

Cell and atoms, written as CIF:
```
data_Na2ErInCl6
_chemical_formula_sum 'Na6 Er3 In3 Cl18'
_cell_length_a 7.1935
_cell_length_b 7.1935
_cell_length_c 19.7042
_cell_angle_alpha 90.00
_cell_angle_beta 90.00
_cell_angle_gamma 120.00
_symmetry_space_group_name_H-M 'R 3'
_symmetry_Int_Tables_number 146
_symmetry_space_group_name_Hall 'R 3'
loop_
_atom_site_label
_atom_site_type_symbol
_atom_site_fract_x
_atom_site_fract_y
_atom_site_fract_z
Na1 Na 0.0000 0.0000 0.0000
Na2 Na 0.0000 0.0000 0.4844
Er1 Er 0.0000 0.0000 0.6805
In1 In 0.0000 0.0000 0.1997
Cl1 Cl 0.0065 0.3165 0.7489
Cl2 Cl 0.0314 0.6248 0.2611
```

Results
- Raw formation energy: -18.1 eV/f.u.
- Energy: -117.25 eV/cell

=====

# 8
Density functional theory data (PBE) for a relaxed CoAgRu2 crystal.

Cell and atoms, written as CIF:
```
data_CoAgRu2
_chemical_formula_sum 'Co2 Ag2 Ru4'
_cell_length_a 2.753
_cell_length_b 4.558
_cell_length_c 9.262
_cell_angle_alpha 90.00
_cell_angle_beta 90.00
_cell_angle_gamma 90.00
_symmetry_space_group_name_H-M 'C m m m'
_symmetry_Int_Tables_number 65
_symmetry_space_group_name_Hall '-C 2 2'
loop_
_atom_site_label
_atom_site_type_symbol
_atom_site_fract_x
_atom_site_fract_y
_atom_site_fract_z
Co1 Co 0.000 0.000 0.000
Ag1 Ag 0.000 0.000 0.500
Ru1 Ru 0.000 0.500 0.227
```

Results
- Energy: -53.02 eV/cell
- Energy relative to the elements: 0.500 eV per atom

=====

# 9
Density functional theory data (PBE) for a relaxed MgZnGaCo2 crystal.

Cell and atoms, written as CIF:
```
data_MgZnGaCo2
_chemical_formula_sum 'Mg1 Zn1 Ga1 Co2'
_cell_length_a 4.385
_cell_length_b 4.385
_cell_length_c 4.745
_cell_angle_alpha 90.00
_cell_angle_beta 90.00
_cell_angle_gamma 90.00
_symmetry_space_group_name_H-M 'P 4/m m m'
_symmetry_Int_Tables_number 123
_symmetry_space_group_name_Hall '-P 4 2'
loop_
_atom_site_label
_atom_site_type_symbol
_atom_site_fract_x
_atom_site_fract_y
_atom_site_fract_z
Mg1 Mg 0.000 0.000 0.000
Zn1 Zn 0.500 0.500 0.000
Ga1 Ga 0.000 0.000 0.500
Co1 Co 0.000 0.500 0.500
```

Results
- Energy: -16.28 eV/cell
- Energy relative to the elements: 0.766 eV per atom

=====

# 10
Density functional theory data (PBE) for a relaxed ReHg2Pd crystal.

Cell and atoms, written as CIF:
```
data_ReHg2Pd
_chemical_formula_sum 'Re4 Hg8 Pd4'
_cell_length_a 4.011
_cell_length_b 4.011
_cell_length_c 19.861
_cell_angle_alpha 90.00
_cell_angle_beta 90.00
_cell_angle_gamma 90.00
_symmetry_space_group_name_H-M 'I -4 2 d'
_symmetry_Int_Tables_number 122
_symmetry_space_group_name_Hall 'I -4 2bw'
loop_
_atom_site_label
_atom_site_type_symbol
_atom_site_fract_x
_atom_site_fract_y
_atom_site_fract_z
Re1 Re 0.000 0.000 0.000
Hg1 Hg 0.249 0.250 0.125
Pd1 Pd 0.000 0.000 0.500
```

Results
- Energy: -57.71 eV/cell
- Energy above the lowest structure with this stoichiometry: 0.221 eV per atom
- Energy relative to the elements: 0.954 eV per atom

=====

- Among the records above, which one has the highest energy?
  MgZnGaCo2